! SnGePd6 (PBE-GGA, optimized geometry); values from VASP
! formation energy: -0.437 eV per atom
&SYSTEM
  ibrav = 0, nat = 8, ntyp = 3
/
ATOMIC_SPECIES
Pd 106.42 Pd.upf
Ge 72.64 Ge.upf
Sn 118.71 Sn.upf
CELL_PARAMETERS angstrom
3.9925 0.0000 0.0000
0.0000 3.9925 0.0000
0.0000 0.0000 7.9516
ATOMIC_POSITIONS crystal
Pd 0.0000 0.5000 0.2580
Pd 0.5000 0.5000 0.0000
Pd 0.5000 0.0000 0.7420
Pd 0.5000 0.0000 0.2580
Pd 0.0000 0.5000 0.7420
Pd 0.5000 0.5000 0.5000
Ge 0.0000 0.0000 0.5000
Sn 0.0000 0.0000 0.0000

***

! Cu2WBr8 (PBE-GGA, optimized geometry); values from VASP
! formation energy without anion corrections: -0.31 eV per atom
&SYSTEM
  ibrav = 0, nat = 11, ntyp = 3
/
ATOMIC_SPECIES
Cu 63.55 Cu.upf
W 183.84 W.upf
Br 79.90 Br.upf
CELL_PARAMETERS angstrom
6.1840 -0.0438 0.0463
0.0472 6.9384 4.0110
-0.0315 0.0755 8.0141
ATOMIC_POSITIONS crystal
Cu 0.5991 0.8288 0.8288
Cu 0.4009 0.1712 0.1712
W 0.0000 0.0000 0.0000
Br 0.2808 0.3279 0.3279
Br 0.2414 0.8417 0.2924
Br 0.7586 0.7076 0.1583
Br 0.7192 0.6721 0.6721
Br 0.2414 0.2924 0.8417
Br 0.7911 0.1546 0.1546
Br 0.2089 0.8454 0.8454
Br 0.7586 0.1583 0.7076

***

! Li3SiGe2 (PBE-GGA, optimized geometry); values from VASP
! formation energy without anion corrections: -0.18 eV per atom
&SYSTEM
  ibrav = 0, nat = 12, ntyp = 3
/
ATOMIC_SPECIES
Si 28.09 Si.upf
Ge 72.64 Ge.upf
Li 6.94 Li.upf
CELL_PARAMETERS angstrom
-3.9459 -2.6767 2.4147
-0.3768 -3.4891 -4.4834
6.7497 -1.0956 3.9004
ATOMIC_POSITIONS crystal
Si 0.0000 0.7500 0.0000
Si 0.0000 0.2500 0.0000
Ge 0.1002 0.3763 0.7525
Ge 0.8998 0.6237 0.2475
Ge 0.6523 0.8763 0.7525
Ge 0.3477 0.1237 0.2475
Li 0.5000 0.7500 0.0000
Li 0.5000 0.2500 0.0000
Li 0.4546 0.6795 0.3589
Li 0.9043 0.1795 0.3589
Li 0.5454 0.3205 0.6411
Li 0.0957 0.8205 0.6411

***

! Tb2PaGe3Rh4 (PBE-GGA, optimized geometry); values from VASP
! formation energy: -0.845 eV per atom
&SYSTEM
  ibrav = 0, nat = 10, ntyp = 4
/
ATOMIC_SPECIES
Pa 231.04 Pa.upf
Ge 72.64 Ge.upf
Rh 102.91 Rh.upf
Tb 158.93 Tb.upf
CELL_PARAMETERS angstrom
-1.5153 -1.8393 -3.4885
3.9340 -0.9664 -1.1993
-0.7131 -9.5098 5.3237
ATOMIC_POSITIONS crystal
Pa 0.5000 0.5000 0.5000
Ge 0.0000 0.5000 0.1246
Ge 0.0000 0.0000 0.5000
Ge 0.5000 0.0000 0.8754
Rh 0.5000 0.5000 0.0000
Rh 0.0000 0.0000 0.0000
Rh 0.5000 0.0000 0.6508
Rh 0.0000 0.5000 0.3492
Tb 0.5000 0.0000 0.2190
Tb 0.0000 0.5000 0.7810

***

! AcLaIr (PBE-GGA, optimized geometry); values from VASP
! formation energy: -0.510 eV per atom
&SYSTEM
  ibrav = 0, nat = 3, ntyp = 3
/
ATOMIC_SPECIES
Ac 227.00 Ac.upf
La 138.91 La.upf
Ir 192.22 Ir.upf
CELL_PARAMETERS angstrom
5.1202 0.0000 0.0000
2.5601 4.4342 0.0000
2.5601 1.4781 4.1806
ATOMIC_POSITIONS crystal
Ac 0.0000 0.0000 0.0000
La 0.5000 0.5000 0.5000
Ir 0.2500 0.2500 0.2500

***

! KReF3 (PBE-GGA, optimized geometry); values from VASP
! formation energy without anion corrections: -1.30 eV per atom
&SYSTEM
  ibrav = 0, nat = 5, ntyp = 3
/
ATOMIC_SPECIES
K 39.10 K.upf
F 19.00 F.upf
Re 186.21 Re.upf
CELL_PARAMETERS angstrom
-3.6484 -2.1905 0.4543
-0.0828 -0.7362 -4.2150
2.2356 -3.6021 0.5853
ATOMIC_POSITIONS crystal
K 0.5000 0.5000 0.5000
F 0.5000 0.0000 0.0000
F 0.0000 0.5000 0.0000
F 0.0000 0.0000 0.5000
Re 0.0000 0.0000 0.0000

***

The following is a DFT calculation (PBE-GGA) of crystalline PmCuH8Rh2 at its relaxed geometry. Values from VASP.

The structure in Quantum ESPRESSO input format:
```
&SYSTEM
  ibrav = 0, nat = 12, ntyp = 4
/
ATOMIC_SPECIES
Pm 145.00 Pm.upf
Cu 63.55 Cu.upf
Rh 102.91 Rh.upf
H 1.01 H.upf
CELL_PARAMETERS angstrom
-2.1386 -3.1951 2.7462
2.1942 -1.6610 3.8406
-2.1455 2.3781 5.1605
ATOMIC_POSITIONS crystal
Pm 0.5000 0.5000 0.5000
Cu 0.0000 0.0000 0.0000
Rh 0.7062 0.7062 0.8813
Rh 0.2938 0.2938 0.1187
H 0.6296 0.3228 0.1411
H 0.8098 0.8098 0.5707
H 0.6772 0.0934 0.8589
H 0.1902 0.1902 0.4293
H 0.3704 0.6772 0.8589
H 0.9066 0.6296 0.1411
H 0.3228 0.9066 0.1411
H 0.0934 0.3704 0.8589
```

***

! RbZrZnO4 (PBE-GGA, optimized geometry); values from VASP
! formation energy without anion corrections: -1.99 eV per atom
&SYSTEM
  ibrav = 0, nat = 14, ntyp = 4
/
ATOMIC_SPECIES
O 16.00 O.upf
Zr 91.22 Zr.upf
Zn 65.41 Zn.upf
Rb 85.47 Rb.upf
CELL_PARAMETERS angstrom
5.8717 0.0000 -0.6867
0.0000 5.8814 0.0000
-3.2189 0.0000 7.3000
ATOMIC_POSITIONS crystal
O 0.5579 0.7500 0.5636
O 0.5453 0.2500 0.7692
O 0.4421 0.2500 0.4364
O 0.4547 0.7500 0.2308
O 0.0334 0.4812 0.6753
O 0.9666 0.9812 0.3247
O 0.9666 0.5188 0.3247
O 0.0334 0.0188 0.6753
Zr 0.8385 0.7500 0.4807
Zr 0.1615 0.2500 0.5193
Zn 0.7837 0.2500 0.6743
Zn 0.2163 0.7500 0.3257
Rb 0.4174 0.2500 0.0870
Rb 0.5826 0.7500 0.9130

***

! K12P3Br5 (PBE-GGA, optimized geometry); values from VASP
! formation energy without anion corrections: -0.86 eV per atom
&SYSTEM
  ibrav = 0, nat = 80, ntyp = 3
/
ATOMIC_SPECIES
K 39.10 K.upf
Br 79.90 Br.upf
P 30.97 P.upf
CELL_PARAMETERS angstrom
16.5466 0.0000 0.0000
-5.5155 15.6002 0.0000
-5.5155 -7.8001 13.5102
ATOMIC_POSITIONS crystal
K 0.9406 0.3590 0.2710
K 0.5594 0.3304 0.9184
K 0.8304 0.9120 0.2710
K 0.5880 0.7290 0.6696
K 0.4184 0.0594 0.3304
K 0.1410 0.4120 0.0816
K 0.2290 0.5594 0.6410
K 0.5880 0.8590 0.4184
K 0.0594 0.4184 0.8304
K 0.4184 0.3590 0.5880
K 0.8304 0.9184 0.0594
K 0.7710 0.4406 0.3590
K 0.4120 0.2710 0.3304
K 0.0880 0.9184 0.3590
K 0.7290 0.1410 0.0594
K 0.3304 0.7710 0.4120
K 0.3590 0.9406 0.7710
K 0.2710 0.4120 0.8304
K 0.1696 0.0880 0.7290
K 0.6410 0.5816 0.9120
K 0.9120 0.0816 0.6410
K 0.7710 0.3304 0.9120
K 0.3304 0.5594 0.4184
K 0.6696 0.2290 0.5880
K 0.9120 0.8304 0.7710
K 0.7290 0.5880 0.1696
K 0.6696 0.4406 0.5816
K 0.5594 0.2290 0.1410
K 0.4406 0.6696 0.0816
K 0.8590 0.2710 0.4406
K 0.9406 0.5816 0.1696
K 0.9184 0.0880 0.8590
K 0.2290 0.6696 0.0880
K 0.0816 0.1696 0.4406
K 0.0816 0.9120 0.1410
K 0.1696 0.0816 0.9406
K 0.4120 0.1410 0.5816
K 0.4406 0.7710 0.8590
K 0.2710 0.8590 0.9406
K 0.5816 0.9406 0.6696
K 0.6410 0.0594 0.2290
K 0.8590 0.5880 0.9184
K 0.3590 0.4184 0.0880
K 0.9184 0.8304 0.5594
K 0.5816 0.6410 0.4120
K 0.0594 0.6410 0.7290
K 0.0880 0.1696 0.2290
K 0.1410 0.7290 0.5594
Br 0.8750 0.2500 0.6250
Br 0.3750 0.1250 0.7500
Br 0.7500 0.1250 0.8750
Br 0.6250 0.8750 0.2500
Br 0.3750 0.2500 0.1250
Br 0.0000 0.0000 0.0000
Br 0.0000 0.0000 0.5000
Br 0.0000 0.5000 0.0000
Br 0.5000 0.0000 0.5000
Br 0.8750 0.6250 0.7500
Br 0.6250 0.7500 0.8750
Br 0.0000 0.5000 0.5000
Br 0.5000 0.0000 0.0000
Br 0.5000 0.5000 0.5000
Br 0.2500 0.8750 0.1250
Br 0.1250 0.7500 0.3750
Br 0.7500 0.6250 0.3750
Br 0.2500 0.3750 0.6250
Br 0.5000 0.5000 0.0000
Br 0.1250 0.3750 0.2500
P 0.1250 0.8750 0.7500
P 0.7500 0.3750 0.1250
P 0.6250 0.3750 0.7500
P 0.2500 0.1250 0.3750
P 0.8750 0.7500 0.1250
P 0.8750 0.1250 0.2500
P 0.1250 0.2500 0.8750
P 0.3750 0.7500 0.6250
P 0.2500 0.6250 0.8750
P 0.6250 0.2500 0.3750
P 0.7500 0.8750 0.6250
P 0.3750 0.6250 0.2500

***

! ThMgGa2Cu5 (PBE-GGA, optimized geometry); values from VASP
! formation energy: 0.013 eV per atom
&SYSTEM
  ibrav = 0, nat = 9, ntyp = 4
/
ATOMIC_SPECIES
Ga 69.72 Ga.upf
Cu 63.55 Cu.upf
Mg 24.30 Mg.upf
Th 232.04 Th.upf
CELL_PARAMETERS angstrom
4.5879 0.0000 0.0000
0.0000 4.5879 0.0000
0.0000 0.0000 7.4921
ATOMIC_POSITIONS crystal
Ga 0.5000 0.5000 0.8339
Ga 0.5000 0.5000 0.1661
Cu 0.0000 0.5000 0.7360
Cu 0.5000 0.0000 0.7360
Cu 0.0000 0.5000 0.2640
Cu 0.5000 0.5000 0.5000
Cu 0.5000 0.0000 0.2640
Mg 0.0000 0.0000 0.0000
Th 0.0000 0.0000 0.5000

***

no.,final energy (eV per cell)
1,-43.3
2,-38.0
3,-42.9
4,-70.5
5,-19.4
6,-25.6
7,-52.8
8,-89.0
9,-220.1
10,-35.4